DFT (PBE-GGA) results for an optimized crystal structure of AcTb3Nd5.

a b c (Å): 12.801 11.678 10.203
angles (deg): 90.00 105.93 90.00
Space group C2/m (No. 12)
Symmetry-distinct sites (fractional):
Ac 0.248 0.000 0.247 (multiplicity 4)
Tb 0.000 0.000 0.000 (multiplicity 2)
Tb 0.000 0.500 0.500 (multiplicity 2)
Tb 0.003 0.000 0.670 (multiplicity 4)
Tb 0.014 0.500 0.177 (multiplicity 4)
Nd 0.000 0.244 0.500 (multiplicity 4)
Nd 0.106 0.247 0.910 (multiplicity 8)
Nd 0.239 0.500 0.086 (multiplicity 4)
Nd 0.242 0.000 0.586 (multiplicity 4)

Crystal system = monoclinic
Formation energy = 4.5 eV per formula unit
Energy above the lowest structure with this stoichiometry = 0.311 eV/atom
Size of the total moment = 0.00 μB/f.u.

---

DFT (PBE-GGA) results for an optimized crystal structure of NdAlZn3Ag.

a b c (Å): 6.211 13.066 5.943
angles (deg): 90.00 90.00 90.00
Space group Cmcm (No. 63)
Symmetry-distinct sites (fractional):
Nd 0.000 0.201 0.250 (multiplicity 4)
Al 0.000 0.427 0.250 (multiplicity 4)
Zn 0.000 0.370 0.750 (multiplicity 4)
Zn 0.199 0.000 0.000 (multiplicity 8)
Ag 0.000 0.159 0.750 (multiplicity 4)

Crystal system = orthorhombic
Formation energy = -0.4 eV per formula unit
Size of the total moment = 0.00 μB/f.u.

---

DFT (PBE-GGA) results for an optimized crystal structure of Ba3YMg4.

a b c (Å): 4.133 4.133 17.440
angles (deg): 90.00 90.00 90.00
Space group P4/mmm (No. 123)
Symmetry-distinct sites (fractional):
Ba 0.000 0.000 0.000 (multiplicity 1)
Ba 0.000 0.000 0.269 (multiplicity 2)
Y 0.000 0.000 0.500 (multiplicity 1)
Mg 0.500 0.500 0.133 (multiplicity 2)
Mg 0.500 0.500 0.406 (multiplicity 2)

Crystal system = tetragonal
Formation energy = -0.3 eV per formula unit
Size of the total moment = 0.00 μB/f.u.

---

DFT (PBE-GGA) results for an optimized crystal structure of HgPPt2.

a b c (Å): 3.352 3.352 6.291
angles (deg): 90.00 90.00 90.00
Space group P4mm (No. 99)
Symmetry-distinct sites (fractional):
Hg 0.000 0.000 0.000 (multiplicity 1)
P 0.500 0.500 0.358 (multiplicity 1)
Pt 0.000 0.000 0.472 (multiplicity 1)
Pt 0.500 0.500 0.734 (multiplicity 1)

Crystal system = tetragonal
Formation energy = -0.2 eV per formula unit
Energy above the lowest structure with this stoichiometry = 0.071 eV/atom
Size of the total moment = 0.00 μB/f.u.

---

DFT (PBE-GGA) results for an optimized crystal structure of MgTaNi3.

a b c (Å): 4.902 12.831 4.534
angles (deg): 90.00 90.00 90.00
Space group Cmcm (No. 63)
Symmetry-distinct sites (fractional):
Mg 0.000 0.068 0.250 (multiplicity 4)
Ta 0.000 0.301 0.750 (multiplicity 4)
Ni 0.000 0.500 0.000 (multiplicity 4)
Ni 0.245 0.361 0.250 (multiplicity 8)

Crystal system = orthorhombic
Formation energy = -0.4 eV per formula unit
Energy above the lowest structure with this stoichiometry = 0.000 eV/atom
Size of the total moment = 0.00 μB/f.u.

---

DFT (PBE-GGA) results for an optimized crystal structure of GdSbSe2.

a b c (Å): 4.0746 4.0746 26.9350
angles (deg): 90.00 90.00 120.00
Space group R-3m (No. 166, hexagonal axes)
Symmetry-distinct sites (fractional):
Gd 0.0000 0.0000 0.0000 (multiplicity 3)
Sb 0.0000 0.0000 0.5000 (multiplicity 3)
Se 0.0000 0.0000 0.1057 (multiplicity 6)

Crystal system = trigonal
Size of the total moment = 7.08 μB/f.u.
Raw formation energy = -0.361 eV/atom

---

DFT (PBE-GGA) results for an optimized crystal structure of Na2InGa2.

a b c (Å): 7.104 7.104 4.933
angles (deg): 90.00 90.00 90.00
Space group P4/mbm (No. 127)
Symmetry-distinct sites (fractional):
Na 0.175 0.325 0.000 (multiplicity 4)
In 0.000 0.000 0.500 (multiplicity 2)
Ga 0.126 0.626 0.500 (multiplicity 4)

Crystal system = tetragonal
Formation energy = -0.4 eV per formula unit
Energy above the lowest structure with this stoichiometry = 0.009 eV/atom
Size of the total moment = 0.00 μB/f.u.

---

DFT (PBE-GGA) results for an optimized crystal structure of BaTa2Ni.

a b c (Å): 5.484 10.684 2.913
angles (deg): 90.00 90.00 90.00
Space group Cmmm (No. 65)
Symmetry-distinct sites (fractional):
Ba 0.000 0.000 0.000 (multiplicity 2)
Ta 0.250 0.250 0.500 (multiplicity 4)
Ni 0.000 0.500 0.000 (multiplicity 2)

Crystal system = orthorhombic
Formation energy = 4.7 eV per formula unit
Energy above the lowest structure with this stoichiometry = 0.758 eV/atom
Size of the total moment = 0.00 μB/f.u.

---

DFT (PBE-GGA) results for an optimized crystal structure of ZrBAs2C.

a b c (Å): 4.115 4.115 4.648
angles (deg): 90.00 90.00 90.00
Space group P4/mmm (No. 123)
Symmetry-distinct sites (fractional):
Zr 0.000 0.000 0.000 (multiplicity 1)
B 0.500 0.500 0.000 (multiplicity 1)
As 0.000 0.500 0.500 (multiplicity 2)
C 0.000 0.000 0.500 (multiplicity 1)

Crystal system = tetragonal
Formation energy = 5.2 eV per formula unit
Size of the total moment = 0.00 μB/f.u.

---

DFT (PBE-GGA) results for an optimized crystal structure of ThTlN.

a b c (Å): 3.869 3.869 9.101
angles (deg): 90.00 90.00 90.00
Space group P4/nmm (No. 129, origin choice 2)
Symmetry-distinct sites (fractional):
Th 0.250 0.250 0.143 (multiplicity 2)
Tl 0.250 0.750 0.500 (multiplicity 2)
N 0.250 0.250 0.901 (multiplicity 2)

Crystal system = tetragonal
Energy above the lowest structure with this stoichiometry = 0.549 eV/atom
Size of the total moment = 0.00 μB/f.u.
Raw formation energy = -0.559 eV/atom

---

DFT (PBE-GGA) results for an optimized crystal structure of Tl2HgOs.

a b c (Å): 7.107 7.107 7.107
angles (deg): 90.00 90.00 90.00
Space group F-43m (No. 216)
Symmetry-distinct sites (fractional):
Tl 0.000 0.000 0.000 (multiplicity 4)
Tl 0.250 0.250 0.250 (multiplicity 4)
Hg 0.000 0.000 0.500 (multiplicity 4)
Os 0.250 0.250 0.750 (multiplicity 4)

Crystal system = cubic
Formation energy = 4.1 eV per formula unit
Energy above the lowest structure with this stoichiometry = 0.429 eV/atom
Size of the total moment = 0.81 μB/f.u.

---

Q: Number 9 is which compound?
A: ZrBAs2C